(1)
Computed, not measured: a relaxed La3MgBe2Pd9 crystal at the GGA-PBE level of DFT.

Calculated values
Energy of formation = -0.676 eV per atom
Volume = 19.44 A^3/atom

Cell and atoms, written as POSCAR:
```
La3MgBe2Pd9
1.0
-0.1333 5.5953 -1.9715
-1.3657 -4.4681 -3.6582
-9.1807 0.6914 2.5828
La Mg Be Pd
3 1 2 9
Direct
0.3333 0.6667 0.6784 La
0.0000 0.0000 0.0000 La
0.6667 0.3333 0.3216 La
0.0000 0.0000 0.5000 Mg
0.3333 0.6667 0.1499 Be
0.6667 0.3333 0.8501 Be
0.8367 0.1633 0.7122 Pd
0.8367 0.6734 0.7122 Pd
0.3266 0.1633 0.7122 Pd
0.6734 0.8367 0.2878 Pd
0.1633 0.3266 0.2878 Pd
0.1633 0.8367 0.2878 Pd
0.5000 0.0000 0.0000 Pd
0.0000 0.5000 0.0000 Pd
0.5000 0.5000 0.0000 Pd
```

***

(2)
Computed, not measured: a relaxed TiMn3Si crystal at the GGA-PBE level of DFT.

Calculated values
Energy above the most stable polymorph in this dataset = 717 meV per atom
E_form (uncorrected) = 27.482 kcal/mol of atoms
Volume = 17.56 A^3/atom

Cell and atoms, written as POSCAR:
```
TiMn3Si
1.0
-1.1466 -3.6449 2.2709
0.3353 -2.4193 -3.7137
4.2814 -0.7867 0.8990
Si Mn Ti
1 3 1
Direct
0.5000 0.5000 0.5000 Si
0.0000 0.5000 0.0000 Mn
0.0000 0.0000 0.5000 Mn
0.5000 0.0000 0.0000 Mn
0.0000 0.0000 0.0000 Ti
```

***

(3)
Computed, not measured: a relaxed GaSb2S crystal at the GGA-PBE level of DFT.

Calculated values
Energy above the most stable polymorph in this dataset = 0 meV per atom
E_form (uncorrected) = 4.499 kcal/mol of atoms
Volume = 30.19 A^3/atom

Cell and atoms, written as POSCAR:
```
GaSb2S
1.0
5.7173 0.0000 0.0000
0.0000 5.7173 0.0000
2.8586 2.8586 7.3881
Sb S Ga
4 2 2
Direct
0.6107 0.1250 0.2500 Sb
0.1393 0.6250 0.2500 Sb
0.3750 0.3893 0.7500 Sb
0.8750 0.8607 0.7500 Sb
0.5000 0.5000 0.0000 S
0.2500 0.7500 0.5000 S
0.0000 0.0000 0.0000 Ga
0.7500 0.2500 0.5000 Ga
```

***

(4)
Computed, not measured: a relaxed AlHSe2 crystal at the GGA-PBE level of DFT.

Calculated values
Energy above the most stable polymorph in this dataset = 389 meV per atom
Volume = 20.11 A^3/atom

Cell and atoms, written as POSCAR:
```
AlHSe2
1.0
1.6702 -13.7622 0.0000
1.6702 13.7622 0.0000
0.0000 0.0000 3.4995
H Al Se
2 2 4
Direct
0.0578 0.9422 0.2500 H
0.9422 0.0578 0.7500 H
0.3506 0.6494 0.2500 Al
0.6494 0.3506 0.7500 Al
0.1857 0.8143 0.2500 Se
0.8143 0.1857 0.7500 Se
0.9255 0.0745 0.2500 Se
0.0745 0.9255 0.7500 Se
```

***

(5)
Computed, not measured: a relaxed PaSiB crystal at the GGA-PBE level of DFT.

Calculated values
Energy above the most stable polymorph in this dataset = 25 meV per atom
E_form (uncorrected) = -12.836 kcal/mol of atoms
Volume = 15.34 A^3/atom

Cell and atoms, written as POSCAR:
```
PaSiB
1.0
3.3096 0.0000 1.0702
1.1245 4.9638 2.1749
0.0396 -0.2309 5.5299
Pa Si B
2 2 2
Direct
0.7548 0.2452 0.2452 Pa
0.2452 0.7548 0.7548 Pa
0.0000 0.3142 0.6858 Si
0.0000 0.6858 0.3142 Si
0.5000 0.8611 0.1389 B
0.5000 0.1389 0.8611 B
```

***

(6)
Computed, not measured: a relaxed U2GaS6 crystal at the GGA-PBE level of DFT.

Calculated values
E_form (uncorrected) = -22.309 kcal/mol of atoms
Volume = 24.45 A^3/atom

Cell and atoms, written as POSCAR:
```
U2GaS6
1.0
-1.4703 -3.3774 -4.8026
1.0699 -5.0222 3.2043
-11.4584 -0.1401 3.6063
U Ga S
4 2 12
Direct
0.5000 0.5000 0.3333 U
0.5000 0.5000 0.6667 U
0.0000 0.0000 0.1667 U
0.0000 0.0000 0.8333 U
0.5000 0.5000 0.0000 Ga
0.0000 0.0000 0.5000 Ga
0.6906 0.6906 0.1580 S
0.6906 0.6906 0.8420 S
0.6972 0.6972 0.5000 S
0.8028 0.1972 0.0000 S
0.8094 0.1906 0.3420 S
0.8094 0.1906 0.6580 S
0.1906 0.8094 0.3420 S
0.1906 0.8094 0.6580 S
0.1972 0.8028 0.0000 S
0.3028 0.3028 0.5000 S
0.3094 0.3094 0.1580 S
0.3094 0.3094 0.8420 S
```

***

> What is the formula in the first record?

La3MgBe2Pd9

***

> Among the records above, which one has the highest volume?

GaSb2S

***

> Look up the volume of the sixth one.

24.45 A^3/atom

***

> The highest volume belongs to which entry?

GaSb2S